VASP calculation (PBE) on a geometry-optimized TiCr3Pd structure. Values from VASP.

```
&SYSTEM
  ibrav = 0, nat = 5, ntyp = 3
/
ATOMIC_SPECIES
Pd 106.42 Pd.upf
Cr 52.00 Cr.upf
Ti 47.87 Ti.upf
ATOMIC_POSITIONS crystal
Pd 0.000 0.000 0.000
Cr 0.000 0.000 0.500
Ti 0.500 0.500 0.500
Cr 0.500 0.000 0.000
Cr 0.000 0.500 0.000
CELL_PARAMETERS angstrom
-0.309 3.557 -2.703
1.103 -2.565 -3.502
-4.329 -0.907 -0.699
```

Calculated values
- Total magnetization: 0.0 μB/cell
- Energy of formation from the pure elements: 1.74 eV/atom
- Calculated total energy: -33.2 eV/cell
- SG: Pm-3m (221)
- Mass density: 5736 kg/m³



VASP calculation (PBE) on a geometry-optimized Sr2ZrI structure. Values from VASP.

```
&SYSTEM
  ibrav = 0, nat = 4, ntyp = 3
/
ATOMIC_SPECIES
Sr 87.62 Sr.upf
I 126.90 I.upf
Zr 91.22 Zr.upf
ATOMIC_POSITIONS crystal
Sr 0.250 0.250 0.250
I 0.500 0.500 0.500
Zr 0.000 0.000 0.000
Sr 0.750 0.750 0.750
CELL_PARAMETERS angstrom
0.000 4.243 4.243
4.243 0.000 4.243
4.243 4.243 0.000
```

Calculated values
- Total magnetization: 4.0 μB/cell
- Energy relative to the lowest polymorph listed for this composition: 0 meV per atom
- Calculated total energy: -12.4 eV/cell
- SG: Fm-3m (225)
- ΔE_f (raw): 271 meV/atom
- Mass density: 4276 kg/m³



VASP calculation (PBE) on a geometry-optimized LiCa2CdF structure. Values from VASP.

```
&SYSTEM
  ibrav = 0, nat = 5, ntyp = 4
/
ATOMIC_SPECIES
Ca 40.08 Ca.upf
F 19.00 F.upf
Cd 112.41 Cd.upf
Li 6.94 Li.upf
ATOMIC_POSITIONS crystal
Ca 0.500 0.000 0.000
F 0.000 0.000 0.000
Cd 0.500 0.500 0.500
Li 0.000 0.000 0.500
Ca 0.000 0.500 0.000
CELL_PARAMETERS angstrom
-1.859 -1.390 4.630
3.078 -4.166 -0.015
2.971 2.188 1.850
```

Calculated values
- Total magnetization: 0.0 μB/cell
- Calculated total energy: -14.9 eV/cell
- SG: P4/mmm (123)
- ΔE_f (raw): -1247 meV/atom
- Mass density: 3276 kg/m³